[1]
Li2FeCl | PBE-GGA | optimized geometry

Cell lengths 5.818, 5.818, 5.818 Å; angles 109.49, 109.49, 109.43 degrees
Sites, in units of the cell vectors:
1 Li 0.077 0.625 0.952
2 Li 0.375 0.327 0.452
3 Li 0.673 0.125 0.048
4 Li 0.875 0.923 0.548
5 Fe 0.250 0.750 0.500
6 Fe 0.500 0.500 0.000
7 Cl 0.000 0.000 0.000
8 Cl 0.750 0.250 0.500

Results
* DOS at the Fermi energy: 2.3 states/eV per cell
* magnetic moment: 0.75 μB/atom
* final energy: -3.575 eV per atom
* formation energy (no corrections): -41 meV per atom
* distance to the lowest polymorph of the same formula: 301 meV per atom

[2]
LiFe3Cl | PBE-GGA | optimized geometry

Cell lengths 4.151, 4.151, 4.151 Å; angles 90.00, 90.00, 90.00 degrees
Sites, in units of the cell vectors:
1 Li 0.000 0.000 0.000
2 Fe 0.000 0.500 0.500
3 Fe 0.500 0.000 0.500
4 Fe 0.500 0.500 0.000
5 Cl 0.500 0.500 0.500

Results
* DOS at the Fermi energy: 1.7 states/eV per cell
* magnetic moment: 1.20 μB/atom
* final energy: -5.184 eV per atom
* formation energy (no corrections): 645 meV per atom
* distance to the lowest polymorph of the same formula: 0 meV per atom

[3]
LiFe3Cl9 | PBE-GGA | optimized geometry

Cell lengths 9.291, 9.291, 12.903 Å; angles 116.09, 116.09, 70.30 degrees
Sites, in units of the cell vectors:
1 Li 0.117 0.883 0.500
2 Li 0.883 0.117 0.000
3 Fe 0.049 0.371 0.690
4 Fe 0.371 0.049 0.190
5 Fe 0.472 0.744 0.365
6 Fe 0.744 0.472 0.865
7 Fe 0.785 0.863 0.147
8 Fe 0.863 0.785 0.647
9 Cl 0.090 0.825 0.655
10 Cl 0.153 0.171 0.074
11 Cl 0.171 0.153 0.574
12 Cl 0.206 0.531 0.844
13 Cl 0.279 0.913 0.255
14 Cl 0.338 0.682 0.441
15 Cl 0.511 0.853 0.060
16 Cl 0.531 0.206 0.344
17 Cl 0.544 0.590 0.747
18 Cl 0.590 0.544 0.247
19 Cl 0.645 0.920 0.524
20 Cl 0.682 0.338 0.941
21 Cl 0.821 0.877 0.822
22 Cl 0.825 0.090 0.155
23 Cl 0.853 0.511 0.560
24 Cl 0.877 0.821 0.322
25 Cl 0.913 0.279 0.755
26 Cl 0.920 0.645 0.024

Results
* DOS at the Fermi energy: 11.1 states/eV per cell
* magnetic moment: 1.08 μB/atom
* final energy: -4.283 eV per atom
* formation energy (no corrections): -904 meV per atom

[4]
Li2FeCl4 | PBE-GGA | optimized geometry

Cell lengths 6.523, 6.523, 6.523 Å; angles 123.64, 123.64, 83.81 degrees
Sites, in units of the cell vectors:
1 Li 0.000 0.500 0.500
2 Li 0.500 0.000 0.500
3 Fe 0.000 0.000 0.000
4 Cl 0.120 0.655 0.000
5 Cl 0.345 0.345 0.465
6 Cl 0.655 0.120 0.000
7 Cl 0.880 0.880 0.535

Results
* DOS at the Fermi energy: 7.0 states/eV per cell
* magnetic moment: 0.57 μB/atom
* final energy: -4.097 eV per atom
* formation energy (no corrections): -1286 meV per atom
* distance to the lowest polymorph of the same formula: 37 meV per atom

[5]
Li4FeCl | PBE-GGA | optimized geometry

Cell lengths 5.451, 5.451, 5.451 Å; angles 60.00, 60.00, 60.00 degrees
Sites, in units of the cell vectors:
1 Li 0.376 0.376 0.376
2 Li 0.376 0.376 0.873
3 Li 0.376 0.873 0.376
4 Li 0.873 0.376 0.376
5 Fe 0.750 0.750 0.750
6 Cl 0.000 0.000 0.000

Results
* DOS at the Fermi energy: 7.7 states/eV per cell
* magnetic moment: 0.60 μB/atom
* final energy: -2.706 eV per atom
* formation energy (no corrections): 288 meV per atom

[6]
Li2FeCl4 | PBE-GGA | optimized geometry

Cell lengths 6.681, 6.681, 6.681 Å; angles 129.52, 129.52, 74.18 degrees
Sites, in units of the cell vectors:
1 Li 0.250 0.750 0.500
2 Li 0.750 0.250 0.500
3 Fe 0.000 0.000 0.000
4 Cl 0.104 0.641 0.000
5 Cl 0.359 0.359 0.463
6 Cl 0.641 0.104 0.000
7 Cl 0.896 0.896 0.537

Results
* DOS at the Fermi energy: 6.4 states/eV per cell
* magnetic moment: 0.57 μB/atom
* final energy: -4.131 eV per atom
* formation energy (no corrections): -1320 meV per atom
* distance to the lowest polymorph of the same formula: 3 meV per atom

[7]
LiFeCl2 | PBE-GGA | optimized geometry

Cell lengths 7.168, 7.168, 3.357 Å; angles 90.34, 90.34, 27.01 degrees
Sites, in units of the cell vectors:
1 Li 0.000 0.000 0.000
2 Fe 0.637 0.637 0.504
3 Cl 0.195 0.195 0.005
4 Cl 0.464 0.464 0.499

Results
* DOS at the Fermi energy: 1.7 states/eV per cell
* magnetic moment: 0.75 μB/atom
* final energy: -4.246 eV per atom
* formation energy (no corrections): -728 meV per atom
* distance to the lowest polymorph of the same formula: 35 meV per atom

[8]
Li6FeCl8 | PBE-GGA | optimized geometry

Cell lengths 7.305, 7.305, 7.305 Å; angles 60.00, 60.00, 60.00 degrees
Sites, in units of the cell vectors:
1 Li 0.000 0.000 0.500
2 Li 0.000 0.500 0.000
3 Li 0.000 0.500 0.500
4 Li 0.500 0.000 0.000
5 Li 0.500 0.000 0.500
6 Li 0.500 0.500 0.000
7 Fe 0.000 0.000 0.000
8 Cl 0.240 0.240 0.760
9 Cl 0.240 0.760 0.240
10 Cl 0.240 0.760 0.760
11 Cl 0.250 0.250 0.250
12 Cl 0.750 0.750 0.750
13 Cl 0.760 0.240 0.240
14 Cl 0.760 0.240 0.760
15 Cl 0.760 0.760 0.240

Results
* DOS at the Fermi energy: 8.4 states/eV per cell
* magnetic moment: 0.27 μB/atom
* final energy: -3.890 eV per atom
* formation energy (no corrections): -1576 meV per atom

[9]
Li2FeCl | PBE-GGA | optimized geometry

Cell lengths 4.464, 4.464, 3.164 Å; angles 90.00, 90.00, 90.07 degrees
Sites, in units of the cell vectors:
1 Li 0.000 0.500 0.000
2 Li 0.500 0.000 0.000
3 Fe 0.000 0.000 0.500
4 Cl 0.500 0.500 0.500

Results
* DOS at the Fermi energy: 3.8 states/eV per cell
* magnetic moment: 0.74 μB/atom
* final energy: -3.611 eV per atom
* formation energy (no corrections): -77 meV per atom
* distance to the lowest polymorph of the same formula: 265 meV per atom

[10]
Li2FeCl | PBE-GGA | optimized geometry

Cell lengths 5.424, 5.424, 5.424 Å; angles 147.35, 112.29, 77.21 degrees
Sites, in units of the cell vectors:
1 Li 0.207 0.207 0.000
2 Li 0.793 0.793 0.000
3 Fe 0.500 0.000 0.500
4 Cl 0.000 0.500 0.500

Results
* DOS at the Fermi energy: 4.4 states/eV per cell
* magnetic moment: 0.73 μB/atom
* final energy: -3.547 eV per atom
* formation energy (no corrections): -13 meV per atom
* distance to the lowest polymorph of the same formula: 329 meV per atom

[11]
LiFeCl | PBE-GGA | optimized geometry

Cell lengths 6.423, 6.097, 3.058 Å; angles 81.88, 70.00, 28.12 degrees
Sites, in units of the cell vectors:
1 Li 0.000 0.000 0.000
2 Fe 0.691 0.691 0.309
3 Cl 0.353 0.353 0.647

Results
* DOS at the Fermi energy: 2.1 states/eV per cell
* magnetic moment: 1.05 μB/atom
* final energy: -4.182 eV per atom
* formation energy (no corrections): -108 meV per atom
* distance to the lowest polymorph of the same formula: 61 meV per atom

[12]
Li2FeCl4 | PBE-GGA | optimized geometry

Cell lengths 7.389, 7.389, 7.389 Å; angles 120.61, 120.18, 89.31 degrees
Sites, in units of the cell vectors:
1 Li 0.000 0.000 0.000
2 Li 0.362 0.612 0.750
3 Li 0.500 0.000 0.500
4 Li 0.638 0.388 0.250
5 Fe 0.000 0.000 0.500
6 Fe 0.000 0.500 0.000
7 Cl 0.232 0.219 0.487
8 Cl 0.232 0.745 0.013
9 Cl 0.234 0.248 0.985
10 Cl 0.237 0.752 0.485
11 Cl 0.763 0.248 0.515
12 Cl 0.766 0.752 0.015
13 Cl 0.768 0.255 0.987
14 Cl 0.768 0.781 0.513

Results
* DOS at the Fermi energy: 8.9 states/eV per cell
* magnetic moment: 0.57 μB/atom
* final energy: -4.134 eV per atom
* formation energy (no corrections): -1323 meV per atom
* distance to the lowest polymorph of the same formula: 0 meV per atom

[13]
LiFeCl | PBE-GGA | optimized geometry

Cell lengths 3.095, 3.095, 5.774 Å; angles 90.00, 90.00, 120.00 degrees
Sites, in units of the cell vectors:
1 Li 0.000 0.000 0.000
2 Fe 0.333 0.667 0.613
3 Cl 0.667 0.333 0.299

Results
* DOS at the Fermi energy: 2.8 states/eV per cell
* magnetic moment: 1.02 μB/atom
* final energy: -4.243 eV per atom
* formation energy (no corrections): -169 meV per atom
* distance to the lowest polymorph of the same formula: 0 meV per atom

[14]
LiFeCl | PBE-GGA | optimized geometry

Cell lengths 4.037, 4.037, 4.037 Å; angles 60.00, 60.00, 60.00 degrees
Sites, in units of the cell vectors:
1 Li 0.000 0.000 0.000
2 Fe 0.750 0.750 0.750
3 Cl 0.500 0.500 0.500

Results
* DOS at the Fermi energy: 2.9 states/eV per cell
* magnetic moment: 0.77 μB/atom
* final energy: -3.684 eV per atom
* formation energy (no corrections): 390 meV per atom
* distance to the lowest polymorph of the same formula: 559 meV per atom

[15]
Li2FeCl5 | PBE-GGA | optimized geometry

Cell lengths 10.249, 12.480, 7.375 Å; angles 90.00, 90.00, 90.00 degrees
Sites, in units of the cell vectors:
1 Li 0.000 0.000 0.217
2 Li 0.000 0.000 0.783
3 Li 0.111 0.277 0.000
4 Li 0.389 0.777 0.500
5 Li 0.500 0.500 0.283
6 Li 0.500 0.500 0.717
7 Li 0.611 0.223 0.500
8 Li 0.889 0.723 0.000
9 Fe 0.225 0.238 0.500
10 Fe 0.275 0.738 0.000
11 Fe 0.725 0.262 0.000
12 Fe 0.775 0.762 0.500
13 Cl 0.049 0.133 0.500
14 Cl 0.101 0.633 0.000
15 Cl 0.121 0.095 0.000
16 Cl 0.228 0.346 0.262
17 Cl 0.228 0.346 0.738
18 Cl 0.272 0.846 0.238
19 Cl 0.272 0.846 0.762
20 Cl 0.379 0.595 0.500
21 Cl 0.399 0.133 0.500
22 Cl 0.451 0.633 0.000
23 Cl 0.549 0.367 0.000
24 Cl 0.601 0.867 0.500
25 Cl 0.621 0.405 0.500
26 Cl 0.728 0.154 0.238
27 Cl 0.728 0.154 0.762
28 Cl 0.772 0.654 0.262
29 Cl 0.772 0.654 0.738
30 Cl 0.879 0.905 0.000
31 Cl 0.899 0.367 0.000
32 Cl 0.951 0.867 0.500

Results
* magnetic moment: 0.62 μB/atom
* final energy: -3.955 eV per atom
* formation energy (no corrections): -1265 meV per atom

[16]
Li2FeCl | PBE-GGA | optimized geometry

Cell lengths 5.839, 5.839, 5.839 Å; angles 144.41, 144.41, 51.22 degrees
Sites, in units of the cell vectors:
1 Li 0.000 0.000 0.000
2 Li 0.750 0.250 0.500
3 Fe 0.500 0.500 0.000
4 Cl 0.250 0.750 0.500

Results
* DOS at the Fermi energy: 3.1 states/eV per cell
* magnetic moment: 0.74 μB/atom
* final energy: -3.564 eV per atom
* formation energy (no corrections): -30 meV per atom
* distance to the lowest polymorph of the same formula: 312 meV per atom

[17]
LiFeCl2 | PBE-GGA | optimized geometry

Cell lengths 4.742, 4.742, 4.742 Å; angles 60.00, 60.00, 60.00 degrees
Sites, in units of the cell vectors:
1 Li 0.000 0.000 0.000
2 Fe 0.250 0.250 0.250
3 Cl 0.500 0.500 0.500
4 Cl 0.750 0.750 0.750

Results
* DOS at the Fermi energy: 7.9 states/eV per cell
* magnetic moment: 0.79 μB/atom
* final energy: -3.381 eV per atom
* formation energy (no corrections): 137 meV per atom
* distance to the lowest polymorph of the same formula: 900 meV per atom

[18]
Li2FeCl | PBE-GGA | optimized geometry

Cell lengths 3.070, 3.070, 8.089 Å; angles 101.23, 101.23, 60.10 degrees
Sites, in units of the cell vectors:
1 Li 0.236 0.236 0.203
2 Li 0.764 0.764 0.797
3 Fe 0.000 0.000 0.500
4 Cl 0.500 0.500 0.000

Results
* DOS at the Fermi energy: 3.0 states/eV per cell
* magnetic moment: 0.69 μB/atom
* final energy: -3.876 eV per atom
* formation energy (no corrections): -342 meV per atom
* distance to the lowest polymorph of the same formula: 0 meV per atom

[19]
Li2FeCl | PBE-GGA | optimized geometry

Cell lengths 7.859, 7.859, 3.028 Å; angles 100.81, 100.81, 21.63 degrees
Sites, in units of the cell vectors:
1 Li 0.000 0.000 0.000
2 Li 0.206 0.206 0.717
3 Fe 0.373 0.373 0.375
4 Cl 0.628 0.628 0.141

Results
* DOS at the Fermi energy: 3.3 states/eV per cell
* magnetic moment: 0.65 μB/atom
* final energy: -3.791 eV per atom
* formation energy (no corrections): -257 meV per atom
* distance to the lowest polymorph of the same formula: 85 meV per atom

[20]
Li2FeCl | PBE-GGA | optimized geometry

Cell lengths 3.001, 3.001, 6.773 Å; angles 90.00, 90.00, 92.29 degrees
Sites, in units of the cell vectors:
1 Li 0.000 0.000 0.217
2 Li 0.000 0.000 0.783
3 Fe 0.500 0.500 0.500
4 Cl 0.500 0.500 0.000

Results
* DOS at the Fermi energy: 2.1 states/eV per cell
* magnetic moment: 0.67 μB/atom
* final energy: -3.846 eV per atom
* formation energy (no corrections): -311 meV per atom
* distance to the lowest polymorph of the same formula: 30 meV per atom

[21]
LiFeCl2 | PBE-GGA | optimized geometry

Cell lengths 3.564, 5.002, 4.043 Å; angles 90.00, 102.79, 90.00 degrees
Sites, in units of the cell vectors:
1 Li 0.000 0.000 0.000
2 Fe 0.510 0.500 0.491
3 Cl 0.141 0.500 0.913
4 Cl 0.607 0.000 0.417

Results
* DOS at the Fermi energy: 2.8 states/eV per cell
* magnetic moment: 0.75 μB/atom
* final energy: -4.234 eV per atom
* formation energy (no corrections): -717 meV per atom
* distance to the lowest polymorph of the same formula: 47 meV per atom

[22]
LiFe2Cl8 | PBE-GGA | optimized geometry

Cell lengths 6.523, 6.523, 9.108 Å; angles 98.57, 98.57, 81.73 degrees
Sites, in units of the cell vectors:
1 Li 0.000 0.000 0.000
2 Fe 0.108 0.108 0.354
3 Fe 0.892 0.892 0.646
4 Cl 0.130 0.130 0.615
5 Cl 0.139 0.734 0.803
6 Cl 0.266 0.861 0.197
7 Cl 0.332 0.332 0.395
8 Cl 0.668 0.668 0.605
9 Cl 0.734 0.139 0.803
10 Cl 0.861 0.266 0.197
11 Cl 0.870 0.870 0.385

Results
* DOS at the Fermi energy: 1.9 states/eV per cell
* magnetic moment: 0.82 μB/atom
* final energy: -3.881 eV per atom
* formation energy (no corrections): -825 meV per atom

[23]
Li2FeCl | PBE-GGA | optimized geometry

Cell lengths 4.501, 4.501, 4.501 Å; angles 60.00, 60.00, 60.00 degrees
Sites, in units of the cell vectors:
1 Li 0.000 0.000 0.000
2 Li 0.250 0.250 0.250
3 Fe 0.750 0.750 0.750
4 Cl 0.500 0.500 0.500

Results
* DOS at the Fermi energy: 2.7 states/eV per cell
* magnetic moment: 0.62 μB/atom
* final energy: -3.281 eV per atom
* formation energy (no corrections): 253 meV per atom
* distance to the lowest polymorph of the same formula: 595 meV per atom

[24]
LiFeCl | PBE-GGA | optimized geometry

Cell lengths 3.915, 3.915, 3.335 Å; angles 90.00, 90.00, 120.00 degrees
Sites, in units of the cell vectors:
1 Li 0.000 0.000 0.000
2 Fe 0.667 0.333 0.500
3 Cl 0.333 0.667 0.500

Results
* DOS at the Fermi energy: 2.0 states/eV per cell
* magnetic moment: 0.72 μB/atom
* final energy: -4.038 eV per atom
* formation energy (no corrections): 36 meV per atom
* distance to the lowest polymorph of the same formula: 205 meV per atom

[25]
LiFeCl2 | PBE-GGA | optimized geometry

Cell lengths 7.572, 7.572, 7.572 Å; angles 26.87, 26.87, 26.87 degrees
Sites, in units of the cell vectors:
1 Li 0.000 0.000 0.000
2 Fe 0.500 0.500 0.500
3 Cl 0.399 0.399 0.399
4 Cl 0.601 0.601 0.601

Results
* DOS at the Fermi energy: 1.8 states/eV per cell
* magnetic moment: 0.75 μB/atom
* final energy: -4.281 eV per atom
* formation energy (no corrections): -764 meV per atom
* distance to the lowest polymorph of the same formula: 0 meV per atom